Entry 1:
This record from the Alexandria database describes a relaxed ThP2Os crystal. The functional is PBE-GGA.

a b c (Å): 4.9649 4.9649 10.3474
angles (deg): 90.00 90.00 120.00
With the nearest neighbours (Å) after each atom.
Space group R-3m (No. 166, hexagonal axes)
Unique sites:
Th 0.0000 0.0000 0.0000 (multiplicity 3)  8 P 2.81-2.94
P 0.0000 0.0000 0.2711 (multiplicity 6)  1 Os 2.37
Os 0.0000 0.0000 0.5000 (multiplicity 3)  2 P 2.37

Values from the calculation:
Its total magnetic moment is 0.000 μB/f.u. The uncorrected energy is -0.56893 Ry per atom.



Entry 2:
This record from the Alexandria database describes a relaxed Rb2ZrCdBr6 crystal. The functional is PBE-GGA.

a b c (Å): 12.0187 12.0187 12.0187
angles (deg): 90.00 90.00 90.00
With the nearest neighbours (Å) after each atom.
Space group Fm-3m (No. 225)
Unique sites:
Rb 0.2500 0.2500 0.2500 (multiplicity 8)  12 Br 4.26
Zr 0.0000 0.0000 0.0000 (multiplicity 4)  6 Br 2.66
Cd 0.0000 0.0000 0.5000 (multiplicity 4)  6 Br 3.35
Br 0.0000 0.0000 0.2212 (multiplicity 24)  1 Zr 2.66

Values from the calculation:
Its total magnetic moment is 0.000 μB/f.u. The value obtained for the formation energy from raw total energies is -1.2990 eV/atom. The uncorrected energy is -0.25303 Ry per atom.



Entry 3:
This record from the Alexandria database describes a relaxed La3Sn2Au crystal. The functional is PBE-GGA.

a b c (Å): 12.8942 4.7109 12.3415
angles (deg): 90.00 90.00 90.00
With the nearest neighbours (Å) after each atom.
Space group Pnma (No. 62)
Unique sites:
La 0.0501 0.2500 0.1257 (multiplicity 4)  1 Au 3.16, 5 Sn 3.29-3.48
La 0.1259 0.7500 0.5573 (multiplicity 4)  3 Au 3.31-3.39, 5 Sn 3.34-3.42, 1 La 3.70
La 0.2231 0.2500 0.8027 (multiplicity 4)  2 Au 3.15, 4 Sn 3.27-3.49
Sn 0.0064 0.7500 0.3098 (multiplicity 4)  2 Au 2.92, 1 La 3.27
Sn 0.1881 0.7500 0.0076 (multiplicity 4)  1 Au 2.93
Au 0.1275 0.2500 0.3691 (multiplicity 4)  3 Sn 2.92-2.93, 3 La 3.15-3.16

Values from the calculation:
Its total magnetic moment is 0.852 μB/f.u. The uncorrected energy is -0.37699 Ry per atom.